VASP calculation (PBE-GGA) on a geometry-optimized LiCa2AcIn4 structure.

Properties
The value obtained for the density of states at the Fermi level is 0.556 states/eV/atom. Its space group is R-3m (166). As for the formation energy: -365 meV per atom. The calculation puts the total energy at -2.9877 eV/atom.

Cell: 9.7855 9.7855 9.7855 Å, 31.95 31.95 31.95°
Fractional positions:
Li 0.0000 0.0000 0.0000
Ca 0.2560 0.2560 0.2560
Ca 0.7440 0.7440 0.7440
Ac 0.5000 0.5000 0.5000
In 0.1111 0.1111 0.1111
In 0.3726 0.3726 0.3726
In 0.6274 0.6274 0.6274
In 0.8889 0.8889 0.8889